(1)
YBi2Os | PBE | optimized geometry

V = 26.3 Å³/atom
Theoretical density = 11.0 g cm⁻³
DFT formation energy = 0.419 eV/atom
Energy = -23.78 eV per formula unit
Space group = I-42d (122)

a b c (Å): 4.497 4.497 10.880
angles (deg): 78.07 78.07 90.00
Element x y z (fractional)
Y 0.500 0.500 0.000
Y 0.250 0.750 0.500
Os 0.000 0.000 0.000
Os 0.750 0.250 0.500
Bi 0.648 0.125 0.250
Bi 0.102 0.625 0.250
Bi 0.375 0.352 0.750
Bi 0.875 0.898 0.750

***

(2)
K2RhPbO6 | PBE | optimized geometry

V = 14.5 Å³/atom
Formation energy from raw total energies = -782 kJ/mol of formula units
Theoretical density = 5.6 g cm⁻³
Energy = -51.11 eV per formula unit
Space group = I4/mmm (139)

a b c (Å): 5.895 5.895 5.891
angles (deg): 59.98 59.99 90.01
Element x y z (fractional)
K 0.250 0.750 0.500
K 0.750 0.250 0.500
Rh 0.500 0.500 0.000
Pb 0.000 0.000 0.000
O 0.265 0.735 0.000
O 0.735 0.735 0.001
O 0.264 0.264 0.473
O 0.735 0.265 0.000
O 0.265 0.265 0.999
O 0.736 0.736 0.527

***

(3)
ErTcN2 | PBE | optimized geometry

V = 11.7 Å³/atom
Formation energy from raw total energies = -360 kJ/mol of formula units
Theoretical density = 10.4 g cm⁻³
Energy = -35.31 eV per formula unit
Space group = Pnma (62)

a b c (Å): 3.117 5.612 10.704
angles (deg): 90.00 90.00 90.00
Element x y z (fractional)
Er 0.750 0.076 0.148
Er 0.250 0.924 0.852
Er 0.750 0.576 0.352
Er 0.250 0.424 0.648
Tc 0.250 0.562 0.097
Tc 0.250 0.062 0.403
Tc 0.750 0.438 0.903
Tc 0.750 0.938 0.597
N 0.750 0.252 0.498
N 0.250 0.748 0.502
N 0.750 0.752 0.002
N 0.250 0.248 0.998
N 0.750 0.171 0.755
N 0.250 0.329 0.255
N 0.750 0.671 0.745
N 0.250 0.829 0.245

***

(4)
TiTcBi2 | PBE | optimized geometry

V = 20.6 Å³/atom
Theoretical density = 11.3 g cm⁻³
DFT formation energy = 0.328 eV/atom
Energy = -24.71 eV per formula unit
Space group = Fm-3m (225)

a b c (Å): 4.888 4.888 4.888
angles (deg): 60.00 60.00 60.00
Element x y z (fractional)
Ti 0.000 0.000 0.000
Bi 0.250 0.250 0.250
Bi 0.750 0.750 0.750
Tc 0.500 0.500 0.500